Compound: TeMoOs2
Source: Alexandria
Functional: GGA-PBE
Structure: relaxed

Values from the calculation:
V = 66.7 Å³/f.u.
ΔE_f (raw) = 2.3 eV/f.u.

a b c (Å): 4.0792 2.9042 5.8180
angles (deg): 75.50 90.00 90.00
Last column: nearest neighbours and their distance in Å.
Fractional coordinates of all 4 atoms:
Mo 0.5000 0.6816 0.7615  5 Os 2.55-2.84, 4 Te 2.84
Os 0.0000 0.0623 0.0000  1 Te 2.68, 6 Os 2.78-2.90, 4 Mo 2.84
Os 0.5000 0.4549 0.2140  1 Mo 2.55, 2 Te 2.69, 4 Os 2.78
Te 0.0000 0.3012 0.5245  3 Os 2.68-2.69, 4 Mo 2.84, 2 Te 2.90



Compound: TiBeCoGe2
Source: Alexandria
Functional: GGA-PBE
Structure: relaxed

Values from the calculation:
V = 77.8 Å³/f.u.
uncorrected energy = -26.5 eV per cell

a b c (Å): 4.4398 3.9455 4.4398
angles (deg): 90.00 90.00 90.00
Last column: nearest neighbours and their distance in Å.
Fractional coordinates of all 5 atoms:
Be 0.0000 0.5000 0.0000  2 Co 1.97
Ge 0.0000 0.0000 0.5000  2 Co 2.22
Ge 0.5000 0.0000 0.0000  2 Co 2.22
Co 0.0000 0.0000 0.0000  2 Be 1.97
Ti 0.5000 0.5000 0.5000  8 Ge 2.97, 4 Be 3.14